1.
Compound: ReSnTe3
Source: Alexandria via LeMat-Bulk
Functional: PBE
Structure: optimized geometry

a b c (Å): 5.2826 5.2826 5.2826
angles (deg): 90.00 90.00 90.00
Positions (direct):
Re 0.0000 0.0000 0.0000
Sn 0.5000 0.5000 0.5000
Te 0.0000 0.0000 0.5000
Te 0.0000 0.5000 0.0000
Te 0.5000 0.0000 0.0000

Output
Energy relative to the lowest polymorph listed for this composition in eV/f.u.: 0.00
Magnetization in μB/atom: 0.000


2.
Compound: Re3SnTe
Source: Alexandria via LeMat-Bulk
Functional: PBE
Structure: optimized geometry

a b c (Å): 4.8784 4.8784 4.8784
angles (deg): 90.00 90.00 90.00
Positions (direct):
Re 0.0000 0.0000 0.5000
Re 0.0000 0.5000 0.0000
Re 0.5000 0.0000 0.0000
Sn 0.5000 0.5000 0.5000
Te 0.0000 0.0000 0.0000

Output
Energy relative to the lowest polymorph listed for this composition in eV/f.u.: 0.00
Magnetization in μB/atom: 0.568


3.
Compound: ReSnTe3
Source: Alexandria via LeMat-Bulk
Functional: PBE
Structure: optimized geometry

a b c (Å): 5.6723 5.6723 5.6723
angles (deg): 90.00 90.00 90.00
Positions (direct):
Re 0.0000 0.0000 0.0000
Sn 0.5000 0.5000 0.5000
Te 0.0000 0.5000 0.5000
Te 0.5000 0.0000 0.5000
Te 0.5000 0.5000 0.0000

Output
Energy relative to the lowest polymorph listed for this composition in eV/f.u.: 4.67
Magnetization in μB/atom: 0.991


4.
Compound: ZnReSnTe2
Source: Alexandria via LeMat-Bulk
Functional: PBE
Structure: optimized geometry

a b c (Å): 5.7966 5.7966 5.3281
angles (deg): 90.00 90.00 90.00
Positions (direct):
Zn 0.0000 0.0000 0.0000
Re 0.5000 0.5000 0.0000
Sn 0.5000 0.5000 0.5000
Te 0.0000 0.5000 0.5000
Te 0.5000 0.0000 0.5000

Output
E in eV per atom: -3.329
Magnetization in μB/atom: 0.942